No. 1
VASP calculation (PBE) on a geometry-optimized BaGaSeO6 structure.

Volume, Å³/atom: 14.7
E, eV per atom: -5.64
ΔE_f (raw), kJ/mol of formula units: -1211.5

The structure in POSCAR format:
```
BaGaSeO6
1.0
5.126 0.000 0.000
-2.563 4.439 0.000
0.000 0.000 5.795
Ba Ga Se O
1 1 1 6
direct
0.000 0.000 0.000
0.667 0.333 0.500
0.333 0.667 0.500
0.026 0.401 0.684
0.026 0.625 0.316
0.375 0.401 0.316
0.375 0.974 0.684
0.599 0.625 0.684
0.599 0.974 0.316
```

=====

No. 2
VASP calculation (PBE) on a geometry-optimized BaGa2SiO6 structure.

Volume, Å³/atom: 15.3
E, eV per atom: -6.68
ΔE_f (raw), kJ/mol of formula units: -2286.6

The structure in POSCAR format:
```
BaGa2SiO6
1.0
5.672 -4.834 0.000
5.672 4.834 0.000
-3.487 0.000 5.594
Ba Ga Si O
2 4 2 12
direct
0.190 0.810 0.750
0.810 0.190 0.250
0.231 0.353 0.864
0.353 0.231 0.364
0.647 0.769 0.636
0.769 0.647 0.136
0.196 0.804 0.250
0.804 0.196 0.750
0.003 0.196 0.699
0.189 0.619 0.008
0.196 0.003 0.199
0.254 0.378 0.599
0.378 0.254 0.099
0.381 0.811 0.492
0.619 0.189 0.508
0.622 0.746 0.901
0.746 0.622 0.401
0.804 0.997 0.801
0.811 0.381 0.992
0.997 0.804 0.301
```

=====

Copy entry 1 word for word.
VASP calculation (PBE) on a geometry-optimized BaGaSeO6 structure.

Volume, Å³/atom: 14.7
E, eV per atom: -5.64
ΔE_f (raw), kJ/mol of formula units: -1211.5

The structure in POSCAR format:
```
BaGaSeO6
1.0
5.126 0.000 0.000
-2.563 4.439 0.000
0.000 0.000 5.795
Ba Ga Se O
1 1 1 6
direct
0.000 0.000 0.000
0.667 0.333 0.500
0.333 0.667 0.500
0.026 0.401 0.684
0.026 0.625 0.316
0.375 0.401 0.316
0.375 0.974 0.684
0.599 0.625 0.684
0.599 0.974 0.316
```

=====

> The highest ΔE_f (raw) belongs to which entry?

BaGaSeO6

=====

> Look up the ΔE_f (raw) of the first one.

-1211.5 kJ/mol of formula units

=====

> Which of these has the highest volume?

BaGa2SiO6